Record 1
First-principles (PBEsol) data for an optimized crystal structure of Al2ZnReBr, as listed in Alexandria.

For the formation energy (no corrections), the calculation gives 730 meV/atom.

It has space group P4/mmm (No. 123), with a = 4.9254 Å, b = 4.9254 Å, c = 4.8290 Å, α = 90.00°, β = 90.00° and γ = 90.00°. The asymmetric unit holds Al at (0.0000, 0.5000, 0.0000), Zn at (0.0000, 0.0000, 0.5000), Re at (0.5000, 0.5000, 0.0000) and Br at (0.5000, 0.5000, 0.5000).


Record 2
First-principles (PBEsol) data for an optimized crystal structure of NaZn3H3S2O9, as listed in Alexandria.

It has space group P3c1 (No. 158), with a = 5.8575 Å, b = 5.8575 Å, c = 13.1929 Å, α = 90.00°, β = 90.00° and γ = 120.00°. The asymmetric unit holds Na at (0.0000, 0.0000, 0.0000), Zn at (0.0005, 0.3459, 0.2321), H at (0.0000, 0.0000, 0.3196), H at (0.3333, 0.6667, 0.3580), H at (0.6667, 0.3333, 0.1087), S at (0.3333, 0.6667, 0.0411), S at (0.6667, 0.3333, 0.4286), O at (0.0000, 0.0000, 0.2452), O at (0.1493, 0.3941, 0.0879), O at (0.3333, 0.6667, 0.2827), O at (0.3949, 0.1427, 0.3825) and O at (0.6667, 0.3333, 0.1842).


Record 3
First-principles (PBEsol) data for an optimized crystal structure of HfH2WCl, as listed in Alexandria.

It has space group P4/mmm (No. 123), with a = 3.6530 Å, b = 3.6530 Å, c = 5.2740 Å, α = 90.00°, β = 90.00° and γ = 90.00°. The asymmetric unit holds Hf at (0.0000, 0.0000, 0.0000), H at (0.0000, 0.5000, 0.0000), W at (0.0000, 0.0000, 0.5000) and Cl at (0.5000, 0.5000, 0.5000).


Record 4
First-principles (PBEsol) data for an optimized crystal structure of SmSbPt, as listed in Alexandria.

For the formation energy (no corrections), the calculation gives -1191 meV/atom.

It has space group F-43m (No. 216), with a = 6.6080 Å, b = 6.6080 Å, c = 6.6080 Å, α = 90.00°, β = 90.00° and γ = 90.00°. The asymmetric unit holds Sm at (0.0000, 0.0000, 0.0000), Sb at (0.0000, 0.0000, 0.5000) and Pt at (0.2500, 0.2500, 0.7500).


Record 5
First-principles (PBEsol) data for an optimized crystal structure of BaBe2Si, as listed in Alexandria.

For the formation energy (no corrections), the calculation gives -19 meV/atom.

It has space group R3m (No. 160, hexagonal axes), with a = 3.8193 Å, b = 3.8193 Å, c = 17.8367 Å, α = 90.00°, β = 90.00° and γ = 120.00°. The asymmetric unit holds Ba at (0.0000, 0.0000, 0.0000), Be at (0.0000, 0.0000, 0.4901), Be at (0.0000, 0.0000, 0.8141) and Si at (0.0000, 0.0000, 0.1962).


Record 6
First-principles (PBEsol) data for an optimized crystal structure of ZrCuW2, as listed in Alexandria.

For the energy of formation from the pure elements, the calculation gives 0.260 eV/atom. As for the energy above the most stable polymorph in this dataset: 12.76 kJ/mol of atoms.

It has space group Pm (No. 6), with a = 2.7061 Å, b = 4.3822 Å, c = 5.5732 Å, α = 90.00°, β = 101.87° and γ = 90.00°. The asymmetric unit holds Zr at (0.0000, 0.0000, 0.0000), Cu at (0.6900, 0.5000, 0.2529), W at (0.2570, 0.5000, 0.7192) and W at (0.4745, 0.0000, 0.5061).


Record 7
First-principles (PBEsol) data for an optimized crystal structure of Tm2AgIr, as listed in Alexandria.

For the energy of formation from the pure elements, the calculation gives -0.661 eV/atom.

It has space group Fm-3m (No. 225), with a = 6.8251 Å, b = 6.8251 Å, c = 6.8251 Å, α = 90.00°, β = 90.00° and γ = 90.00°. The asymmetric unit holds Tm at (0.2500, 0.2500, 0.2500), Ag at (0.0000, 0.0000, 0.0000) and Ir at (0.0000, 0.0000, 0.5000).


Record 8
First-principles (PBEsol) data for an optimized crystal structure of ZnCuIr2, as listed in Alexandria.

For the energy of formation from the pure elements, the calculation gives 0.006 eV/atom.

It has space group Cm (No. 8), with a = 8.7950 Å, b = 2.7334 Å, c = 4.5234 Å, α = 90.00°, β = 100.14° and γ = 90.00°. The asymmetric unit holds Zn at (0.0000, 0.0000, 0.0000), Cu at (0.2469, 0.0000, 0.7887), Ir at (0.2515, 0.5000, 0.2931) and Ir at (0.4959, 0.0000, 0.5031).


Record 9
First-principles (PBEsol) data for an optimized crystal structure of Ga2FeO4, as listed in Alexandria.

For the formation energy (no corrections), the calculation gives -1589 meV/atom.

It has space group Imma (No. 74), with a = 5.6822 Å, b = 6.0645 Å, c = 8.4187 Å, α = 90.00°, β = 90.00° and γ = 90.00°. The asymmetric unit holds Ga at (0.0000, 0.0000, 0.0000), Ga at (0.0000, 0.2500, 0.3638), Fe at (0.2500, 0.2500, 0.7500), O at (0.0000, 0.0003, 0.2340) and O at (0.2372, 0.2500, 0.9969).


Record 10
First-principles (PBEsol) data for an optimized crystal structure of ScSb2TeRh, as listed in Alexandria.

For the formation energy (no corrections), the calculation gives 772 meV/atom.

It has space group P4/mmm (No. 123), with a = 5.2706 Å, b = 5.2706 Å, c = 5.2450 Å, α = 90.00°, β = 90.00° and γ = 90.00°. The asymmetric unit holds Sc at (0.0000, 0.0000, 0.0000), Sb at (0.0000, 0.5000, 0.0000), Te at (0.0000, 0.0000, 0.5000) and Rh at (0.5000, 0.5000, 0.5000).


Number 1: energy -4.263 eV per atom. Number 2: energy -5.355 eV per atom. Number 3: energy -5.864 eV per atom. Number 4: energy -6.729 eV per atom. Number 5: energy -3.993 eV per atom. Number 6: energy -10.000 eV per atom. Number 7: energy -6.394 eV per atom. Number 8: energy -6.385 eV per atom. Number 9: energy -6.823 eV per atom. Number 10: energy -4.705 eV per atom.